This record from the Alexandria database describes Ba3Zn3Au2 after structural relaxation. The functional is GGA-PBE.

Results
Energy of formation from the pure elements: -0.45 eV/atom

CIF file:
```
data_Ba3Zn3Au2
_chemical_formula_sum 'Ba12 Zn12 Au8'
_space_group_name_H-M_alt 'C m c m'
_space_group_IT_number 63
_space_group_name_Hall '-C 2c 2'
_cell_length_a 4.677
_cell_length_b 12.085
_cell_length_c 17.412
_cell_angle_alpha 90.00
_cell_angle_beta 90.00
_cell_angle_gamma 90.00
loop_
_atom_site_label
_atom_site_type_symbol
_atom_site_fract_x
_atom_site_fract_y
_atom_site_fract_z
Ba1 Ba 0.000 0.075 0.250
Ba2 Ba 0.000 0.361 0.092
Zn1 Zn 0.000 0.077 0.054
Zn2 Zn 0.000 0.221 0.750
Au1 Au 0.000 0.348 0.615
```

***

This record from the Alexandria database describes EuTlSnSb after structural relaxation. The functional is GGA-PBE.

CIF file:
```
data_EuTlSnSb
_chemical_formula_sum 'Eu4 Tl4 Sn4 Sb4'
_space_group_name_H-M_alt 'F -4 3 m'
_space_group_IT_number 216
_space_group_name_Hall 'F -4 2 3'
_cell_length_a 7.806
_cell_length_b 7.806
_cell_length_c 7.806
_cell_angle_alpha 90.00
_cell_angle_beta 90.00
_cell_angle_gamma 90.00
loop_
_atom_site_label
_atom_site_type_symbol
_atom_site_fract_x
_atom_site_fract_y
_atom_site_fract_z
Eu1 Eu 0.000 0.000 0.000
Tl1 Tl 0.250 0.250 0.750
Sn1 Sn 0.000 0.000 0.500
Sb1 Sb 0.250 0.250 0.250
```

***

This record from the Alexandria database describes Mn2NiSnCl after structural relaxation. The functional is GGA-PBE.

CIF file:
```
data_Mn2NiSnCl
_chemical_formula_sum 'Mn2 Ni1 Sn1 Cl1'
_space_group_name_H-M_alt 'P 4/m m m'
_space_group_IT_number 123
_space_group_name_Hall '-P 4 2'
_cell_length_a 5.020
_cell_length_b 5.020
_cell_length_c 4.733
_cell_angle_alpha 90.00
_cell_angle_beta 90.00
_cell_angle_gamma 90.00
loop_
_atom_site_label
_atom_site_type_symbol
_atom_site_fract_x
_atom_site_fract_y
_atom_site_fract_z
Mn1 Mn 0.000 0.500 0.000
Ni1 Ni 0.000 0.000 0.500
Sn1 Sn 0.000 0.000 0.000
Cl1 Cl 0.500 0.500 0.500
```

***

This record from the Alexandria database describes RbTaCoSb2 after structural relaxation. The functional is GGA-PBE.

CIF file:
```
data_RbTaCoSb2
_chemical_formula_sum 'Rb1 Ta1 Co1 Sb2'
_space_group_name_H-M_alt 'P 4/m m m'
_space_group_IT_number 123
_space_group_name_Hall '-P 4 2'
_cell_length_a 5.151
_cell_length_b 5.151
_cell_length_c 4.870
_cell_angle_alpha 90.00
_cell_angle_beta 90.00
_cell_angle_gamma 90.00
loop_
_atom_site_label
_atom_site_type_symbol
_atom_site_fract_x
_atom_site_fract_y
_atom_site_fract_z
Rb1 Rb 0.000 0.000 0.000
Ta1 Ta 0.500 0.500 0.000
Co1 Co 0.500 0.500 0.500
Sb1 Sb 0.000 0.500 0.500
```

***

This record from the Alexandria database describes LiGa2Pb2 after structural relaxation. The functional is GGA-PBE.

Results
Energy of formation from the pure elements: 0.07 eV/atom
ΔE to the lowest computed polymorph: 90 meV/atom

CIF file:
```
data_LiGa2Pb2
_chemical_formula_sum 'Li2 Ga4 Pb4'
_space_group_name_H-M_alt 'I 4/m m m'
_space_group_IT_number 139
_space_group_name_Hall '-I 4 2'
_cell_length_a 4.989
_cell_length_b 4.989
_cell_length_c 11.187
_cell_angle_alpha 90.00
_cell_angle_beta 90.00
_cell_angle_gamma 90.00
loop_
_atom_site_label
_atom_site_type_symbol
_atom_site_fract_x
_atom_site_fract_y
_atom_site_fract_z
Li1 Li 0.000 0.000 0.000
Ga1 Ga 0.000 0.000 0.390
Pb1 Pb 0.000 0.500 0.250
```

***

This record from the Alexandria database describes HoHfBe after structural relaxation. The functional is GGA-PBE.

Results
Energy of formation from the pure elements: 0.10 eV/atom

CIF file:
```
data_HoHfBe
_chemical_formula_sum 'Ho2 Hf2 Be2'
_space_group_name_H-M_alt 'I 4 m m'
_space_group_IT_number 107
_space_group_name_Hall 'I 4 -2'
_cell_length_a 3.217
_cell_length_b 3.217
_cell_length_c 11.722
_cell_angle_alpha 90.00
_cell_angle_beta 90.00
_cell_angle_gamma 90.00
loop_
_atom_site_label
_atom_site_type_symbol
_atom_site_fract_x
_atom_site_fract_y
_atom_site_fract_z
Ho1 Ho 0.000 0.000 0.000
Hf1 Hf 0.000 0.000 0.292
Be1 Be 0.000 0.000 0.666
```

***

This record from the Alexandria database describes Zn2SnBi after structural relaxation. The functional is GGA-PBE.

Results
Energy of formation from the pure elements: 0.18 eV/atom
ΔE to the lowest computed polymorph: 45 meV/atom

CIF file:
```
data_Zn2SnBi
_chemical_formula_sum 'Zn2 Sn1 Bi1'
_space_group_name_H-M_alt 'P 4/m m m'
_space_group_IT_number 123
_space_group_name_Hall '-P 4 2'
_cell_length_a 3.600
_cell_length_b 3.600
_cell_length_c 7.141
_cell_angle_alpha 90.00
_cell_angle_beta 90.00
_cell_angle_gamma 90.00
loop_
_atom_site_label
_atom_site_type_symbol
_atom_site_fract_x
_atom_site_fract_y
_atom_site_fract_z
Zn1 Zn 0.000 0.000 0.229
Sn1 Sn 0.500 0.500 0.000
Bi1 Bi 0.500 0.500 0.500
```

***

This record from the Alexandria database describes CaHPb after structural relaxation. The functional is GGA-PBE.

Results
ΔE to the lowest computed polymorph: 0 meV/atom

CIF file:
```
data_CaHPb
_chemical_formula_sum 'Ca2 H2 Pb2'
_space_group_name_H-M_alt 'P 4/n m m'
_space_group_IT_number 129
_cell_length_a 4.095
_cell_length_b 4.095
_cell_length_c 7.654
_cell_angle_alpha 90.00
_cell_angle_beta 90.00
_cell_angle_gamma 90.00
loop_
_space_group_symop_operation_xyz
'x,y,z'
'-x,-y,-z'
'-y+1/2,x,z'
'y+1/2,-x,-z'
'-x+1/2,-y+1/2,z'
'x+1/2,y+1/2,-z'
'y,-x+1/2,z'
'-y,x+1/2,-z'
'x+1/2,-y,-z'
'-x+1/2,y,z'
'-y,-x,-z'
'y,x,z'
'-x,y+1/2,-z'
'x,-y+1/2,z'
'y+1/2,x+1/2,-z'
'-y+1/2,-x+1/2,z'
loop_
_atom_site_label
_atom_site_type_symbol
_atom_site_fract_x
_atom_site_fract_y
_atom_site_fract_z
Ca1 Ca 0.250 0.250 0.142
H1 H 0.250 0.750 0.000
Pb1 Pb 0.250 0.250 0.592
```

***

| no. | energy (eV/atom) | N(E_F) (states/eV/cell) |
| --- | --- | --- |
| 1 | -2.466 | 22.689 |
| 2 | -5.497 | 12.342 |
| 3 | -5.128 | 5.376 |
| 4 | -4.918 | 4.469 |
| 5 | -3.008 | 5.605 |
| 6 | -5.985 | 4.129 |
| 7 | -2.433 | 0.946 |
| 8 | -3.490 | 1.770 |